1.
Crystalline Th2InS6 at its relaxed geometry, computed with PBE-GGA.

Output
Raw formation energy: -1.22 eV per atom

Lattice parameters (Å, degrees): 6.4025 6.4025 12.4539 90.00 90.00 90.00
Element x y z (fractional)
Th (0.5000, 0.5000, 0.3315)
Th (0.5000, 0.5000, 0.6685)
Th (0.0000, 0.0000, 0.1685)
Th (0.0000, 0.0000, 0.8315)
In (0.5000, 0.5000, 0.0000)
In (0.0000, 0.0000, 0.5000)
S (0.6947, 0.6947, 0.1569)
S (0.6947, 0.6947, 0.8431)
S (0.7009, 0.7009, 0.5000)
S (0.7991, 0.2009, 0.0000)
S (0.8053, 0.1947, 0.3431)
S (0.8053, 0.1947, 0.6569)
S (0.1947, 0.8053, 0.3431)
S (0.1947, 0.8053, 0.6569)
S (0.2009, 0.7991, 0.0000)
S (0.2991, 0.2991, 0.5000)
S (0.3053, 0.3053, 0.1569)
S (0.3053, 0.3053, 0.8431)

=====

2.
Crystalline Ho6TlHg2 at its relaxed geometry, computed with PBE-GGA.

Output
E_form: -0.256 eV per atom

Lattice parameters (Å, degrees): 8.7611 8.7611 8.7611 106.89 111.21 110.34
Element x y z (fractional)
Ho (0.5462, 0.7267, 0.8195)
Ho (0.4538, 0.2733, 0.1805)
Ho (0.0929, 0.2733, 0.8195)
Ho (0.9071, 0.7267, 0.1805)
Ho (0.7991, 0.7540, 0.5531)
Ho (0.2009, 0.2460, 0.4469)
Ho (0.2009, 0.7540, 0.9549)
Ho (0.7991, 0.2460, 0.0451)
Ho (0.7168, 0.3940, 0.6772)
Ho (0.2832, 0.6060, 0.3228)
Ho (0.2832, 0.9604, 0.6772)
Ho (0.7168, 0.0396, 0.3228)
Tl (0.0000, 0.5000, 0.5000)
Tl (0.0000, 0.0000, 0.0000)
Hg (0.5000, 0.3634, 0.8634)
Hg (0.5000, 0.6366, 0.1366)
Hg (0.6518, 0.0000, 0.6518)
Hg (0.3482, 0.0000, 0.3482)

=====

3.
Crystalline SnIrOsC at its relaxed geometry, computed with PBE-GGA.

Output
Relative energy among the computed polymorphs: 0.0 meV/atom
E_form: 0.362 eV per atom

Lattice parameters (Å, degrees): 4.0102 4.0012 4.0727 90.00 90.00 90.00
Element x y z (fractional)
C (0.5000, 0.0000, 0.2604)
Ir (0.5000, 0.5000, 0.2117)
Os (0.0000, 0.0000, 0.2580)
Sn (0.0000, 0.5000, 0.7388)

=====

4.
Crystalline LaMg2Si at its relaxed geometry, computed with PBE-GGA.

Output
Raw formation energy: -0.12 eV per atom

Lattice parameters (Å, degrees): 4.7621 4.1369 5.3495 76.88 90.00 90.00
Element x y z (fractional)
La (0.5000, 0.7500, 0.7500)
Mg (0.0000, 0.0985, 0.0395)
Mg (0.0000, 0.4015, 0.4605)
Si (0.5000, 0.2500, 0.2500)

=====

5.
Crystalline FeAsPBr2 at its relaxed geometry, computed with PBE-GGA.

Output
Raw formation energy: 0.77 eV per atom
Relative energy among the computed polymorphs: 0.0 meV/atom

Lattice parameters (Å, degrees): 4.7853 4.7853 4.6156 90.00 90.00 90.00
Element x y z (fractional)
P (0.5000, 0.5000, 0.5000)
As (0.0000, 0.0000, 0.5000)
Fe (0.0000, 0.0000, 0.0000)
Br (0.0000, 0.5000, 0.0000)
Br (0.5000, 0.0000, 0.0000)

=====

6.
Crystalline CaTa2Mo at its relaxed geometry, computed with PBE-GGA.

Output
E_form: 0.681 eV per atom

Lattice parameters (Å, degrees): 2.7872 4.6449 6.2087 90.00 90.00 90.00
Element x y z (fractional)
Mo (0.5000, 0.5000, 0.7500)
Ca (0.5000, 0.5000, 0.2500)
Ta (0.0000, 0.0000, 0.9668)
Ta (0.0000, 0.0000, 0.5332)

=====

7.
Crystalline TlSi2Pb at its relaxed geometry, computed with PBE-GGA.

Output
Raw formation energy: 0.52 eV per atom
Relative energy among the computed polymorphs: 328.0 meV/atom

Lattice parameters (Å, degrees): 3.8599 3.8599 7.0393 90.00 90.00 90.00
Element x y z (fractional)
Pb (0.5000, 0.5000, 0.7500)
Si (0.0000, 0.0000, 0.9271)
Si (0.0000, 0.0000, 0.5729)
Tl (0.5000, 0.5000, 0.2500)

=====

8.
Crystalline CsPm2Lu at its relaxed geometry, computed with PBE-GGA.

Output
E_form: 0.301 eV per atom

Lattice parameters (Å, degrees): 3.6801 3.6801 13.4422 82.13 82.13 60.00
Element x y z (fractional)
Cs (0.0000, 0.0000, 0.0000)
Lu (0.5000, 0.5000, 0.5000)
Pm (0.0967, 0.0967, 0.7100)
Pm (0.9033, 0.9033, 0.2900)

=====

9.
Crystalline TlAg3 at its relaxed geometry, computed with PBE-GGA.

Output
E_form: 0.182 eV per atom

Lattice parameters (Å, degrees): 9.7208 9.7208 9.7208 18.88 18.88 18.88
Element x y z (fractional)
Tl (0.0000, 0.0000, 0.0000)
Ag (0.7563, 0.7563, 0.7563)
Ag (0.5000, 0.5000, 0.5000)
Ag (0.2437, 0.2437, 0.2437)

=====

10.
Crystalline SrLi2SmSb2 at its relaxed geometry, computed with PBE-GGA.

Output
Raw formation energy: -0.88 eV per atom

Lattice parameters (Å, degrees): 4.7177 4.7177 8.0982 90.00 90.00 120.00
Element x y z (fractional)
Sr (0.0000, 0.0000, 0.0000)
Li (0.3333, 0.6667, 0.7254)
Li (0.6667, 0.3333, 0.2746)
Sm (0.0000, 0.0000, 0.5000)
Sb (0.3333, 0.6667, 0.2665)
Sb (0.6667, 0.3333, 0.7335)

=====

11.
Crystalline ScSi2Rh at its relaxed geometry, computed with PBE-GGA.

Output
Raw formation energy: -0.26 eV per atom

Lattice parameters (Å, degrees): 8.1575 8.1575 8.1575 21.63 21.63 21.63
Element x y z (fractional)
Rh (0.5079, 0.5079, 0.5079)
Sc (0.7522, 0.7522, 0.7522)
Si (0.9923, 0.9923, 0.9923)
Si (0.2476, 0.2476, 0.2476)

=====

12.
Crystalline HfMg2Co at its relaxed geometry, computed with PBE-GGA.

Output
Relative energy among the computed polymorphs: 13.3 meV/atom
E_form: 0.370 eV per atom

Lattice parameters (Å, degrees): 3.8056 3.8056 10.6581 79.72 79.72 90.00
Element x y z (fractional)
Co (0.5000, 0.5000, 0.0000)
Co (0.2500, 0.7500, 0.5000)
Mg (0.6117, 0.1250, 0.2500)
Mg (0.1383, 0.6250, 0.2500)
Mg (0.3750, 0.3883, 0.7500)
Mg (0.8750, 0.8617, 0.7500)
Hf (0.0000, 0.0000, 0.0000)
Hf (0.7500, 0.2500, 0.5000)

=====

13.
Crystalline Nb12Al3Au at its relaxed geometry, computed with PBE-GGA.

Output
E_form: -0.182 eV per atom

Lattice parameters (Å, degrees): 5.2288 5.2184 10.4209 90.00 90.00 90.00
Element x y z (fractional)
Nb (0.5000, 0.0000, 0.3762)
Nb (0.5000, 0.0000, 0.8718)
Nb (0.7489, 0.5000, 0.0000)
Nb (0.7498, 0.5000, 0.5000)
Nb (0.0000, 0.7476, 0.2478)
Nb (0.0000, 0.7476, 0.7522)
Nb (0.5000, 0.0000, 0.1282)
Nb (0.5000, 0.0000, 0.6238)
Nb (0.2511, 0.5000, 0.0000)
Nb (0.2502, 0.5000, 0.5000)
Nb (0.0000, 0.2524, 0.2478)
Nb (0.0000, 0.2524, 0.7522)
Al (0.5000, 0.5000, 0.2486)
Al (0.5000, 0.5000, 0.7514)
Al (0.0000, 0.0000, 0.0000)
Au (0.0000, 0.0000, 0.5000)

=====

14.
Crystalline RbNa2CrCl6 at its relaxed geometry, computed with PBE-GGA.

Output
Raw formation energy: -1.42 eV per atom

Lattice parameters (Å, degrees): 8.7296 9.0967 9.0967 89.58 71.18 71.18
Element x y z (fractional)
Rb (0.2500, 0.8405, 0.1595)
Rb (0.7500, 0.1595, 0.8405)
Na (0.3295, 0.6815, 0.5571)
Na (0.1705, 0.4429, 0.3185)
Na (0.6705, 0.3185, 0.4429)
Na (0.8295, 0.5571, 0.6815)
Cr (0.2500, 0.1844, 0.8156)
Cr (0.7500, 0.8156, 0.1844)
Cl (0.1868, 0.9689, 0.8077)
Cl (0.3132, 0.1923, 0.0311)
Cl (0.8132, 0.0311, 0.1923)
Cl (0.6868, 0.8077, 0.9689)
Cl (0.4859, 0.8822, 0.3629)
Cl (0.0141, 0.6371, 0.1178)
Cl (0.5141, 0.1178, 0.6371)
Cl (0.9859, 0.3629, 0.8822)
Cl (0.0240, 0.7204, 0.5244)
Cl (0.4760, 0.4756, 0.2796)
Cl (0.9760, 0.2796, 0.4756)
Cl (0.5240, 0.5244, 0.7204)

=====

15.
Crystalline TlCrAg2 at its relaxed geometry, computed with PBE-GGA.

Output
E_form: 0.487 eV per atom

Lattice parameters (Å, degrees): 9.6115 9.6115 9.6115 19.04 19.04 19.04
Element x y z (fractional)
Ag (0.9924, 0.9924, 0.9924)
Ag (0.5076, 0.5076, 0.5076)
Cr (0.2500, 0.2500, 0.2500)
Tl (0.7500, 0.7500, 0.7500)

=====

16.
Crystalline CuTePdPt at its relaxed geometry, computed with PBE-GGA.

Output
Raw formation energy: -0.08 eV per atom

Lattice parameters (Å, degrees): 4.5628 4.5628 4.5628 60.00 60.00 60.00
Element x y z (fractional)
Te (0.5000, 0.5000, 0.5000)
Pd (0.2500, 0.2500, 0.2500)
Pt (0.7500, 0.7500, 0.7500)
Cu (0.0000, 0.0000, 0.0000)

=====

17.
Crystalline MoAu2Br at its relaxed geometry, computed with PBE-GGA.

Output
Raw formation energy: 0.76 eV per atom
Relative energy among the computed polymorphs: 533.8 meV/atom

Lattice parameters (Å, degrees): 4.7012 4.7012 4.6855 119.93 119.93 90.16
Element x y z (fractional)
Mo (0.7504, 0.2496, 0.5000)
Au (0.0001, 0.9999, 0.0000)
Au (0.2494, 0.7506, 0.5000)
Br (0.5001, 0.4999, 0.0000)

=====

18.
Crystalline Ti4Fe2Co at its relaxed geometry, computed with PBE-GGA.

Output
E_form: -0.210 eV per atom

Lattice parameters (Å, degrees): 5.0747 5.0747 5.0747 109.47 109.47 109.47
Element x y z (fractional)
Ti (0.5000, 0.0000, 0.0000)
Ti (0.5000, 0.5000, 0.5000)
Ti (0.0000, 0.0000, 0.5000)
Ti (0.0000, 0.5000, 0.0000)
Fe (0.5000, 0.5000, 0.0000)
Fe (0.5000, 0.0000, 0.5000)
Co (0.0000, 0.0000, 0.0000)

=====

19.
Crystalline CaMn2Re at its relaxed geometry, computed with PBE-GGA.

Output
Relative energy among the computed polymorphs: 0.0 meV/atom
E_form: 0.373 eV per atom

Lattice parameters (Å, degrees): 4.1766 4.1766 5.7205 68.59 68.59 59.93
Element x y z (fractional)
Re (0.2500, 0.2500, 0.2500)
Ca (0.7500, 0.7500, 0.7500)
Mn (0.9490, 0.9490, 0.1532)
Mn (0.5510, 0.5510, 0.3468)

=====

20.
Crystalline YPO6 at its relaxed geometry, computed with PBE-GGA.

Output
Raw formation energy: -2.12 eV per atom

Lattice parameters (Å, degrees): 9.4901 9.4901 5.7329 83.36 83.36 144.12
Element x y z (fractional)
Y (0.3061, 0.6939, 0.7500)
Y (0.6939, 0.3061, 0.2500)
P (0.8274, 0.1726, 0.7500)
P (0.1726, 0.8274, 0.2500)
O (0.7086, 0.1560, 0.5617)
O (0.2914, 0.8440, 0.4383)
O (0.8440, 0.2914, 0.9383)
O (0.1560, 0.7086, 0.0617)
O (0.1606, 0.0608, 0.6832)
O (0.8394, 0.9392, 0.3168)
O (0.9392, 0.8394, 0.8168)
O (0.0608, 0.1606, 0.1832)
O (0.6311, 0.8891, 0.8799)
O (0.3689, 0.1109, 0.1201)
O (0.1109, 0.3689, 0.6201)
O (0.8891, 0.6311, 0.3799)

=====

21.
Crystalline Tm2ScZn12Cu3 at its relaxed geometry, computed with PBE-GGA.

Output
E_form: 0.147 eV per atom

Lattice parameters (Å, degrees): 8.0997 8.0997 8.0997 56.48 56.48 56.48
Element x y z (fractional)
Tm (0.5857, 0.5857, 0.5857)
Tm (0.4143, 0.4143, 0.4143)
Sc (0.0000, 0.0000, 0.0000)
Zn (0.2327, 0.2327, 0.8509)
Zn (0.8296, 0.8296, 0.4674)
Zn (0.4674, 0.8296, 0.8296)
Zn (0.8509, 0.2327, 0.2327)
Zn (0.8296, 0.4674, 0.8296)
Zn (0.2327, 0.8509, 0.2327)
Zn (0.7673, 0.7673, 0.1491)
Zn (0.1704, 0.1704, 0.5326)
Zn (0.5326, 0.1704, 0.1704)
Zn (0.1491, 0.7673, 0.7673)
Zn (0.1704, 0.5326, 0.1704)
Zn (0.7673, 0.1491, 0.7673)
Cu (0.5000, 0.0000, 0.0000)
Cu (0.0000, 0.5000, 0.0000)
Cu (0.0000, 0.0000, 0.5000)

=====

22.
Crystalline CoNi7Sn2As2 at its relaxed geometry, computed with PBE-GGA.

Output
E_form: -0.100 eV per atom

Lattice parameters (Å, degrees): 3.5616 3.5616 14.7816 83.05 83.05 89.99
Element x y z (fractional)
Co (0.0000, 0.0000, 0.0000)
Ni (0.5000, 0.5000, 0.0000)
Ni (0.3085, 0.3085, 0.3830)
Ni (0.6915, 0.6915, 0.6170)
Ni (0.9394, 0.4393, 0.1206)
Ni (0.4393, 0.9394, 0.1206)
Ni (0.5607, 0.0606, 0.8794)
Ni (0.0606, 0.5607, 0.8794)
Sn (0.7872, 0.7872, 0.4256)
Sn (0.2128, 0.2128, 0.5744)
As (0.6131, 0.6131, 0.7746)
As (0.3869, 0.3869, 0.2254)

=====

23.
Crystalline GaCu4Au5 at its relaxed geometry, computed with PBE-GGA.

Output
Relative energy among the computed polymorphs: 0.0 meV/atom
E_form: -0.050 eV per atom

Lattice parameters (Å, degrees): 2.9956 2.9956 17.3613 90.00 90.00 90.00
Element x y z (fractional)
Ga (0.0000, 0.0000, 0.0000)
Cu (0.0000, 0.0000, 0.2092)
Cu (0.0000, 0.0000, 0.4030)
Cu (0.0000, 0.0000, 0.5970)
Cu (0.0000, 0.0000, 0.7908)
Au (0.5000, 0.5000, 0.1096)
Au (0.5000, 0.5000, 0.3057)
Au (0.5000, 0.5000, 0.5000)
Au (0.5000, 0.5000, 0.6943)
Au (0.5000, 0.5000, 0.8904)

=====

24.
Crystalline MnRuRhW at its relaxed geometry, computed with PBE-GGA.

Output
E_form: 0.021 eV per atom

Lattice parameters (Å, degrees): 4.3592 4.3592 4.3592 60.00 60.00 60.00
Element x y z (fractional)
Ru (0.7500, 0.7500, 0.7500)
Mn (0.0000, 0.0000, 0.0000)
Rh (0.2500, 0.2500, 0.2500)
W (0.5000, 0.5000, 0.5000)